# CoIr2Rh

A relaxed structure of CoIr2Rh (PBE-GGA, Alexandria).

The structure belongs to space group P4mm (No. 99); the cell edges are 2.713, 2.713 and 7.410 Å and the angles 90.00°, 90.00° and 90.00°. The inequivalent atoms are Co at (0.000, 0.000, 0.000), Ir at (0.000, 0.000, 0.498), Ir at (0.500, 0.500, 0.239) and Rh at (0.500, 0.500, 0.760).

The crystal system is tetragonal. The value obtained for the energy above the most stable polymorph in this dataset is 0.0198 eV/atom. For the total moment, the calculation gives 1.749 μB per formula unit. The formation energy is 30 meV/atom. The calculation puts the calculated density at 16.634 Mg/m³. Its density of states at the Fermi level is 1.36 states/eV per atom.

---

# TaPtN2O

A relaxed structure of TaPtN2O (PBE-GGA, Alexandria).

The structure belongs to space group P4/mmm (No. 123); the cell edges are 3.913, 3.913 and 3.888 Å and the angles 90.00°, 90.00° and 90.00°. The inequivalent atoms are Ta at (0.000, 0.000, 0.000), Pt at (0.500, 0.500, 0.500), N at (0.000, 0.500, 0.500) and O at (0.500, 0.500, 0.000).

The crystal system is tetragonal. Its formation energy from raw total energies is 1071 meV/atom. For the total moment, the calculation gives 0.000 μB per formula unit. The calculation puts the calculated density at 11.715 Mg/m³. Its density of states at the Fermi level is 0.40 states/eV per atom.